[1]
Density functional theory data (GGA-PBE) for crystalline Tb4NdDy4 at its relaxed geometry.

ΔH_f (0 K)	0.018	eV/atom
E above lowest polymorph	0.0	meV per atom
D(E_F)	26.174	states/eV per cell

Lattice parameters (Å, degrees): 10.7008 10.7008 5.0357 90.00 90.00 90.00
Space group I4/mmm (No. 139)
One atom of each set of equivalent atoms:
Tb (0.1675, 0.1675, 0.0000) [8 per cell]
Nd (0.0000, 0.0000, 0.5000) [2 per cell]
Dy (0.0000, 0.3345, 0.5000) [8 per cell]

[2]
Density functional theory data (GGA-PBE) for crystalline K2NaCdAu at its relaxed geometry.

ΔH_f (0 K)	-0.098	eV/atom
E above lowest polymorph	21.6	meV per atom
D(E_F)	1.951	states/eV per cell

Lattice parameters (Å, degrees): 6.3501 6.3501 5.4398 90.00 90.00 90.00
Space group P4/mmm (No. 123)
One atom of each set of equivalent atoms:
K (0.0000, 0.5000, 0.0000) [2 per cell]
Na (0.0000, 0.0000, 0.5000) [1 per cell]
Cd (0.5000, 0.5000, 0.5000) [1 per cell]
Au (0.5000, 0.5000, 0.0000) [1 per cell]

[3]
Density functional theory data (GGA-PBE) for crystalline HgRu at its relaxed geometry.

ΔH_f (0 K)	0.583	eV/atom
D(E_F)	6.566	states/eV per cell

Lattice parameters (Å, degrees): 2.9217 11.5971 4.2630 90.00 90.00 90.00
Space group Cmcm (No. 63)
One atom of each set of equivalent atoms:
Hg (0.0000, 0.1770, 0.2500) [4 per cell]
Ru (0.0000, 0.4507, 0.2500) [4 per cell]

[4]
Density functional theory data (GGA-PBE) for crystalline PaHPtRh2 at its relaxed geometry.

energy	-37.07	eV for the cell shown
D(E_F)	0.353	states/eV per cell

Lattice parameters (Å, degrees): 4.0749 4.0749 4.3181 90.00 90.00 90.00
Space group P4/mmm (No. 123)
One atom of each set of equivalent atoms:
Pa (0.0000, 0.0000, 0.0000) [1 per cell]
H (0.0000, 0.0000, 0.5000) [1 per cell]
Pt (0.5000, 0.5000, 0.0000) [1 per cell]
Rh (0.0000, 0.5000, 0.5000) [2 per cell]

[5]
Density functional theory data (GGA-PBE) for crystalline Li11TiAs5 at its relaxed geometry.

ΔH_f (0 K)	-0.711	eV/atom
D(E_F)	0.139	states/eV per cell

Lattice parameters (Å, degrees): 14.2299 4.2603 10.6070 90.00 118.10 90.00
Space group Cm (No. 8)
One atom of each set of equivalent atoms:
Li (0.0000, 0.0000, 0.0000) [2 per cell]
Li (0.0010, 0.0000, 0.5142) [2 per cell]
Li (0.1004, 0.5000, 0.3434) [2 per cell]
Li (0.1897, 0.0000, 0.5099) [2 per cell]
Li (0.1915, 0.0000, 0.2676) [2 per cell]
Li (0.2202, 0.0000, 0.7919) [2 per cell]
Li (0.2956, 0.5000, 0.1811) [2 per cell]
Li (0.3229, 0.5000, 0.6928) [2 per cell]
Li (0.4023, 0.0000, 0.5852) [2 per cell]
Li (0.4074, 0.0000, 0.0834) [2 per cell]
Li (0.4149, 0.0000, 0.3438) [2 per cell]
Ti (0.1009, 0.5000, 0.8760) [2 per cell]
As (0.1111, 0.5000, 0.6488) [2 per cell]
As (0.1926, 0.0000, 0.0149) [2 per cell]
As (0.2989, 0.5000, 0.4312) [2 per cell]
As (0.4187, 0.0000, 0.8382) [2 per cell]
As (0.4956, 0.5000, 0.2511) [2 per cell]

[6]
Density functional theory data (GGA-PBE) for crystalline TbCeSmAl at its relaxed geometry.

ΔH_f (0 K)	-0.020	eV/atom
D(E_F)	32.755	states/eV per cell

Lattice parameters (Å, degrees): 7.6060 7.6060 7.6060 90.00 90.00 90.00
Space group F-43m (No. 216)
One atom of each set of equivalent atoms:
Tb (0.0000, 0.0000, 0.0000) [4 per cell]
Ce (0.2500, 0.2500, 0.2500) [4 per cell]
Sm (0.2500, 0.2500, 0.7500) [4 per cell]
Al (0.0000, 0.0000, 0.5000) [4 per cell]

[7]
Density functional theory data (GGA-PBE) for crystalline Pm2Er7Sc3 at its relaxed geometry.

ΔH_f (0 K)	0.168	eV/atom
D(E_F)	35.664	states/eV per cell

Lattice parameters (Å, degrees): 5.5450 36.9259 3.5104 90.00 90.00 90.00
Space group Cmmm (No. 65)
One atom of each set of equivalent atoms:
Pm (0.0000, 0.1484, 0.0000) [4 per cell]
Er (0.0000, 0.0000, 0.0000) [2 per cell]
Er (0.0000, 0.0706, 0.5000) [4 per cell]
Er (0.0000, 0.2313, 0.0000) [4 per cell]
Er (0.0000, 0.4109, 0.0000) [4 per cell]
Sc (0.0000, 0.3125, 0.5000) [4 per cell]
Sc (0.0000, 0.5000, 0.5000) [2 per cell]

[8]
Density functional theory data (GGA-PBE) for crystalline Na2LiTbI6 at its relaxed geometry.

D(E_F)	0.000	states/eV per cell
formation energy without anion corrections	-1.281	eV/atom

Lattice parameters (Å, degrees): 7.9001 7.9001 21.1521 90.00 90.00 120.00
Space group R3 (No. 146, hexagonal axes)
One atom of each set of equivalent atoms:
Na (0.0000, 0.0000, 0.0000) [3 per cell]
Na (0.0000, 0.0000, 0.4949) [3 per cell]
Li (0.0000, 0.0000, 0.1968) [3 per cell]
Tb (0.0000, 0.0000, 0.6880) [3 per cell]
I (0.0369, 0.6936, 0.2670) [9 per cell]
I (0.0395, 0.3386, 0.7681) [9 per cell]

[9]
Density functional theory data (GGA-PBE) for crystalline Rb2ReSiBr6 at its relaxed geometry.

D(E_F)	25.317	states/eV per cell
formation energy without anion corrections	-0.573	eV/atom

Lattice parameters (Å, degrees): 10.8407 10.8407 10.8407 90.00 90.00 90.00
Space group Fm-3m (No. 225)
One atom of each set of equivalent atoms:
Rb (0.2500, 0.2500, 0.2500) [8 per cell]
Re (0.0000, 0.0000, 0.0000) [4 per cell]
Si (0.0000, 0.0000, 0.5000) [4 per cell]
Br (0.0000, 0.0000, 0.2431) [24 per cell]

[10]
Density functional theory data (GGA-PBE) for crystalline HfCoGe2 at its relaxed geometry.

ΔH_f (0 K)	0.014	eV/atom
D(E_F)	14.184	states/eV per cell

Lattice parameters (Å, degrees): 3.9573 3.9573 17.7327 90.00 90.00 90.00
Space group I-42d (No. 122)
One atom of each set of equivalent atoms:
Hf (0.0000, 0.0000, 0.0000) [4 per cell]
Co (0.0000, 0.0000, 0.5000) [4 per cell]
Ge (0.2010, 0.2500, 0.6250) [8 per cell]

[11]
Density functional theory data (GGA-PBE) for crystalline PmSm3Pb2 at its relaxed geometry.

ΔH_f (0 K)	-0.438	eV/atom
E above lowest polymorph	0.0	meV per atom
D(E_F)	6.487	states/eV per cell

Lattice parameters (Å, degrees): 4.6383 4.6383 8.8527 90.00 90.00 90.00
Space group P-4m2 (No. 115)
One atom of each set of equivalent atoms:
Pm (0.0000, 0.0000, 0.0000) [1 per cell]
Sm (0.0000, 0.5000, 0.3465) [2 per cell]
Sm (0.5000, 0.5000, 0.0000) [1 per cell]
Pb (0.0000, 0.5000, 0.7147) [2 per cell]

[12]
Density functional theory data (GGA-PBE) for crystalline KLaNi2 at its relaxed geometry.

ΔH_f (0 K)	0.384	eV/atom
E above lowest polymorph	376.8	meV per atom
D(E_F)	9.239	states/eV per cell

Lattice parameters (Å, degrees): 7.1310 7.1310 7.1310 90.00 90.00 90.00
Space group Fm-3m (No. 225)
One atom of each set of equivalent atoms:
K (0.0000, 0.0000, 0.0000) [4 per cell]
La (0.0000, 0.0000, 0.5000) [4 per cell]
Ni (0.2500, 0.2500, 0.2500) [8 per cell]

[13]
Density functional theory data (GGA-PBE) for crystalline Ce2Dy2Tm7 at its relaxed geometry.

ΔH_f (0 K)	0.240	eV/atom
E above lowest polymorph	34.3	meV per atom
D(E_F)	40.229	states/eV per cell

Lattice parameters (Å, degrees): 9.7057 10.9579 6.8683 90.00 110.42 90.00
Space group C2/m (No. 12)
One atom of each set of equivalent atoms:
Ce (0.1125, 0.0000, 0.4369) [4 per cell]
Dy (0.0000, 0.3437, 0.0000) [4 per cell]
Tm (0.0000, 0.5000, 0.5000) [2 per cell]
Tm (0.1741, 0.2481, 0.6910) [8 per cell]
Tm (0.1853, 0.0000, 0.9920) [4 per cell]

[14]
Density functional theory data (GGA-PBE) for crystalline BeFeIr2 at its relaxed geometry.

ΔH_f (0 K)	-0.236	eV/atom
D(E_F)	3.292	states/eV per cell

Lattice parameters (Å, degrees): 4.1128 4.1128 2.9195 90.00 90.00 90.00
Space group P4/mmm (No. 123)
One atom of each set of equivalent atoms:
Be (0.0000, 0.0000, 0.0000) [1 per cell]
Fe (0.5000, 0.5000, 0.0000) [1 per cell]
Ir (0.0000, 0.5000, 0.5000) [2 per cell]

[15]
Density functional theory data (GGA-PBE) for crystalline ZrBe at its relaxed geometry.

ΔH_f (0 K)	0.007	eV/atom
D(E_F)	5.655	states/eV per cell

Lattice parameters (Å, degrees): 3.8460 8.9816 5.6083 90.00 90.00 90.00
Space group Imm2 (No. 44)
One atom of each set of equivalent atoms:
Zr (0.0000, 0.0000, 0.0000) [2 per cell]
Zr (0.0000, 0.3126, 0.2226) [4 per cell]
Be (0.0000, 0.0000, 0.4692) [2 per cell]
Be (0.0000, 0.3827, 0.7713) [4 per cell]

[16]
Density functional theory data (GGA-PBE) for crystalline Li7Ni6 at its relaxed geometry.

ΔH_f (0 K)	0.192	eV/atom
D(E_F)	30.828	states/eV per cell

Lattice parameters (Å, degrees): 4.4752 4.4752 25.2694 90.00 90.00 120.00
Space group R-3m (No. 166, hexagonal axes)
One atom of each set of equivalent atoms:
Li (0.0000, 0.0000, 0.0000) [3 per cell]
Li (0.0084, 0.5042, 0.4130) [18 per cell]
Ni (0.0000, 0.0000, 0.1659) [6 per cell]
Ni (0.0000, 0.0000, 0.3521) [6 per cell]
Ni (0.0000, 0.0000, 0.4558) [6 per cell]

[17]
Density functional theory data (GGA-PBE) for crystalline Be2AsPb at its relaxed geometry.

ΔH_f (0 K)	0.213	eV/atom
E above lowest polymorph	0.0	meV per atom
D(E_F)	1.958	states/eV per cell

Lattice parameters (Å, degrees): 7.2274 3.5468 6.1656 90.00 106.89 90.00
Space group Cm (No. 8)
One atom of each set of equivalent atoms:
Be (0.0000, 0.0000, 0.0000) [2 per cell]
Be (0.2315, 0.5000, 0.0858) [2 per cell]
As (0.4825, 0.0000, 0.2317) [2 per cell]
Pb (0.2211, 0.0000, 0.7116) [2 per cell]

[18]
Density functional theory data (GGA-PBE) for crystalline Hf2Ga2Ir at its relaxed geometry.

ΔH_f (0 K)	-0.595	eV/atom
E above lowest polymorph	98.4	meV per atom
D(E_F)	5.654	states/eV per cell

Lattice parameters (Å, degrees): 3.8936 5.5385 8.1555 90.00 90.00 90.00
Space group Immm (No. 71)
One atom of each set of equivalent atoms:
Hf (0.0000, 0.0000, 0.2154) [4 per cell]
Ga (0.0000, 0.2822, 0.5000) [4 per cell]
Ir (0.0000, 0.5000, 0.0000) [2 per cell]

[19]
Density functional theory data (GGA-PBE) for crystalline SmIn2Cu9 at its relaxed geometry.

ΔH_f (0 K)	-0.137	eV/atom
E above lowest polymorph	0.0	meV per atom
D(E_F)	12.186	states/eV per cell

Lattice parameters (Å, degrees): 8.5071 8.5071 5.0119 90.00 90.00 90.00
Space group P4/mbm (No. 127)
One atom of each set of equivalent atoms:
Sm (0.0000, 0.0000, 0.0000) [2 per cell]
In (0.1241, 0.3759, 0.0000) [4 per cell]
Cu (0.0000, 0.5000, 0.5000) [2 per cell]
Cu (0.0632, 0.2050, 0.5000) [8 per cell]
Cu (0.1765, 0.6765, 0.2471) [8 per cell]

[20]
Density functional theory data (GGA-PBE) for crystalline CaGa2GeS6 at its relaxed geometry.

D(E_F)	0.000	states/eV per cell
formation energy without anion corrections	-0.755	eV/atom

Lattice parameters (Å, degrees): 12.7379 11.8596 7.0443 90.00 112.97 90.00
Space group C2/c (No. 15)
One atom of each set of equivalent atoms:
Ca (0.0000, 0.1324, 0.2500) [4 per cell]
Ga (0.1794, 0.4352, 0.1764) [8 per cell]
Ge (0.0000, 0.1885, 0.7500) [4 per cell]
S (0.1144, 0.0692, 0.6644) [8 per cell]
S (0.1234, 0.2511, 0.0561) [8 per cell]
S (0.1362, 0.4179, 0.4616) [8 per cell]

[21]
Density functional theory data (GGA-PBE) for crystalline K2MgAu2 at its relaxed geometry.

ΔH_f (0 K)	-0.238	eV/atom
E above lowest polymorph	5.0	meV per atom
D(E_F)	3.856	states/eV per cell

Lattice parameters (Å, degrees): 7.4485 7.4485 5.2565 90.00 90.00 90.00
Space group P4/mbm (No. 127)
One atom of each set of equivalent atoms:
K (0.1670, 0.3330, 0.0000) [4 per cell]
Mg (0.0000, 0.0000, 0.5000) [2 per cell]
Au (0.1388, 0.6388, 0.5000) [4 per cell]

[22]
Density functional theory data (GGA-PBE) for crystalline PrNi3B at its relaxed geometry.

ΔH_f (0 K)	-0.252	eV/atom
E above lowest polymorph	43.9	meV per atom
D(E_F)	12.540	states/eV per cell

Lattice parameters (Å, degrees): 5.0706 6.5420 8.4117 90.00 90.00 90.00
Space group Imma (No. 74)
One atom of each set of equivalent atoms:
Pr (0.0000, 0.0000, 0.0000) [4 per cell]
Ni (0.0000, 0.0597, 0.3535) [8 per cell]
Ni (0.2500, 0.2500, 0.7500) [4 per cell]
B (0.0000, 0.2500, 0.5516) [4 per cell]

[23]
Density functional theory data (GGA-PBE) for crystalline CsLiPPb2 at its relaxed geometry.

ΔH_f (0 K)	0.064	eV/atom
D(E_F)	3.611	states/eV per cell

Lattice parameters (Å, degrees): 5.8916 5.8916 4.8816 90.00 90.00 90.00
Space group P4/mmm (No. 123)
One atom of each set of equivalent atoms:
Cs (0.0000, 0.0000, 0.0000) [1 per cell]
Li (0.5000, 0.5000, 0.0000) [1 per cell]
P (0.5000, 0.5000, 0.5000) [1 per cell]
Pb (0.0000, 0.5000, 0.5000) [2 per cell]